Ho6Tl2Co | GGA-PBE | optimized geometry

a b c (Å): 5.0794 7.1774 8.5095
angles (deg): 114.94 107.37 90.00
Sites, in units of the cell vectors:
1 Ho 0.8489 0.6116 0.6979
2 Ho 0.8489 0.0863 0.6979
3 Ho 0.5000 0.2199 0.0000
4 Tl 0.3329 0.3330 0.6660
5 Ho 0.1511 0.9137 0.3021
6 Ho 0.5000 0.7801 0.0000
7 Co 0.0000 0.0000 0.0000
8 Tl 0.6671 0.6670 0.3340
9 Ho 0.1511 0.3884 0.3021

## Properties
uncorrected energy: -39.79 eV per formula unit
formation energy: -0.054 eV/atom
size of the total moment: 0.00 μB per cell
space-group type: No. 71